(1)
DFT (PBE) results for a relaxed structure of CaScB.

The value obtained for the electronic total energy is -5.238 eV/atom. Its space-group type is P2_1/m. The energy of formation is -234 meV per atom.

Lattice parameters (Å, degrees): 3.2059 3.4502 12.0118 98.30 90.01 90.00
Positions (direct):
Sc 0.8171 0.5764 0.1870
Sc 0.3168 0.4594 0.9547
Ca 0.8162 0.8360 0.7060
Ca 0.3169 0.2004 0.4357
B 0.3169 0.0329 0.1006
B 0.8169 0.0030 0.0411

---

(2)
DFT (PBE) results for a relaxed structure of Bi2PS6.

The value obtained for the electronic total energy is -4.105 eV/atom. Its space-group type is P4_2/mnm.

Lattice parameters (Å, degrees): 6.2547 6.2547 11.4109 90.00 90.00 90.00
Positions (direct):
Bi 0.5000 0.5000 0.3314
Bi 0.5000 0.5000 0.6686
Bi 0.0000 0.0000 0.1686
Bi 0.0000 0.0000 0.8314
P 0.5000 0.5000 0.0000
P 0.0000 0.0000 0.5000
S 0.6791 0.6791 0.1425
S 0.6791 0.6791 0.8575
S 0.7458 0.7458 0.5000
S 0.7542 0.2458 0.0000
S 0.8209 0.1791 0.3575
S 0.8209 0.1791 0.6425
S 0.1791 0.8209 0.3575
S 0.1791 0.8209 0.6425
S 0.2458 0.7542 0.0000
S 0.2542 0.2542 0.5000
S 0.3209 0.3209 0.1425
S 0.3209 0.3209 0.8575

---

(3)
DFT (PBE) results for a relaxed structure of PrEr2C.

The value obtained for the electronic total energy is -5.916 eV/atom. Its space-group type is R-3m. The energy of formation is -133 meV per atom.

Lattice parameters (Å, degrees): 3.5140 3.5140 10.0311 79.91 79.91 60.00
Positions (direct):
Pr 0.0000 0.0000 0.0000
C 0.5000 0.5000 0.5000
Er 0.1215 0.1215 0.6356
Er 0.8785 0.8785 0.3644

---

(4)
DFT (PBE) results for a relaxed structure of SrTaMn2.

The value obtained for the electronic total energy is -6.995 eV/atom. Its space-group type is I4_1/amd. The energy of formation is 973 meV per atom.

Lattice parameters (Å, degrees): 5.1517 5.1517 9.0168 73.40 73.40 90.00
Positions (direct):
Sr 0.5000 0.5000 0.0000
Sr 0.2500 0.7500 0.5000
Mn 0.8750 0.1250 0.2500
Mn 0.8750 0.6250 0.2500
Mn 0.3750 0.1250 0.7500
Mn 0.8750 0.1250 0.7500
Ta 0.0000 0.0000 0.0000
Ta 0.7500 0.2500 0.5000

---

(5)
DFT (PBE) results for a relaxed structure of TlGaHgI2.

The value obtained for the electronic total energy is -2.072 eV/atom. Its space-group type is P4/mmm.

Lattice parameters (Å, degrees): 6.1423 6.1423 5.2673 90.00 90.00 90.00
Positions (direct):
I 0.0000 0.5000 0.0000
I 0.5000 0.0000 0.0000
Tl 0.5000 0.5000 0.5000
Hg 0.0000 0.0000 0.5000
Ga 0.0000 0.0000 0.0000

---

(6)
DFT (PBE) results for a relaxed structure of YH7Os2.

The value obtained for the electronic total energy is -5.241 eV/atom. Its space-group type is Cmmm.

Lattice parameters (Å, degrees): 3.3362 5.5005 5.2401 121.66 90.00 90.00
Positions (direct):
Y 0.0000 0.0000 0.0000
H 0.0000 0.3645 0.7289
H 0.0000 0.6355 0.2711
H 0.5000 0.3289 0.2774
H 0.5000 0.6711 0.7226
H 0.5000 0.0515 0.7226
H 0.5000 0.9485 0.2774
H 0.5000 0.5000 0.0000
Os 0.5000 0.3063 0.6125
Os 0.5000 0.6937 0.3875

---

(7)
DFT (PBE) results for a relaxed structure of ThTlAgI6.

The value obtained for the electronic total energy is -3.301 eV/atom. Its space-group type is P-31c.

Lattice parameters (Å, degrees): 7.8534 7.8534 15.6282 90.00 90.00 120.00
Positions (direct):
Th 0.6667 0.3333 0.2500
Th 0.3333 0.6667 0.7500
Tl 0.0000 0.0000 0.0000
Tl 0.0000 0.0000 0.5000
Ag 0.3333 0.6667 0.2500
Ag 0.6667 0.3333 0.7500
I 0.6411 0.6405 0.1356
I 0.9994 0.3589 0.1356
I 0.3589 0.9994 0.6356
I 0.0006 0.6411 0.8644
I 0.3595 0.3589 0.3644
I 0.9994 0.6405 0.3644
I 0.6405 0.9994 0.8644
I 0.6411 0.0006 0.3644
I 0.0006 0.3595 0.6356
I 0.3595 0.0006 0.1356
I 0.6405 0.6411 0.6356
I 0.3589 0.3595 0.8644

---

(8)
DFT (PBE) results for a relaxed structure of NdTe2Pb.

The value obtained for the electronic total energy is -4.432 eV/atom. Its space-group type is R-3m.

Lattice parameters (Å, degrees): 4.3712 4.3712 10.3467 77.81 77.81 60.00
Positions (direct):
Pb 0.0000 0.0000 0.0000
Te 0.1043 0.1043 0.6870
Te 0.8957 0.8957 0.3130
Nd 0.5000 0.5000 0.5000

---

(9)
DFT (PBE) results for a relaxed structure of Pu2AlTc2.

The value obtained for the electronic total energy is -10.709 eV/atom. Its space-group type is C2/c. The energy of formation is -81 meV per atom.

Lattice parameters (Å, degrees): 5.6833 5.6833 8.1322 71.40 71.40 53.94
Positions (direct):
Pu 0.4921 0.2094 0.1420
Pu 0.7906 0.5079 0.3580
Pu 0.5079 0.7906 0.8580
Pu 0.2094 0.4921 0.6420
Al 0.1178 0.8822 0.2500
Al 0.8822 0.1178 0.7500
Tc 0.7008 0.0265 0.5367
Tc 0.9735 0.2992 0.9633
Tc 0.2992 0.9735 0.4633
Tc 0.0265 0.7008 0.0367

---

(10)
DFT (PBE) results for a relaxed structure of DyThSbP.

The value obtained for the electronic total energy is -6.594 eV/atom. Its space-group type is R3m.

Lattice parameters (Å, degrees): 4.1994 4.1990 7.6447 90.00 105.93 120.00
Positions (direct):
Dy 0.9474 0.3717 0.3345
Th 0.3259 0.5609 0.9020
Sb 0.4666 0.1312 0.6128
P 0.1380 0.9669 0.1204

---

(11)
DFT (PBE) results for a relaxed structure of DySc2Se3.

The value obtained for the electronic total energy is -6.254 eV/atom. Its space-group type is Immm.

Lattice parameters (Å, degrees): 3.9555 5.5801 6.8271 114.12 106.84 90.00
Positions (direct):
Dy 0.5000 0.5000 0.5000
Sc 0.8433 0.8433 0.1866
Sc 0.1567 0.1567 0.8134
Se 0.8230 0.3230 0.1459
Se 0.1770 0.6770 0.8541
Se 0.5000 0.0000 0.5000

---

(12)
DFT (PBE) results for a relaxed structure of TiTlCuTe3.

The value obtained for the electronic total energy is -4.429 eV/atom. Its space-group type is P2_1/m.

Lattice parameters (Å, degrees): 3.9868 8.7309 10.5948 66.38 90.00 90.00
Positions (direct):
Ti 0.2500 0.7106 0.8222
Ti 0.7500 0.2894 0.1778
Tl 0.2500 0.2826 0.7175
Tl 0.7500 0.7174 0.2825
Cu 0.2500 0.0803 0.4000
Cu 0.7500 0.9197 0.6000
Te 0.7500 0.9213 0.8450
Te 0.2500 0.0787 0.1550
Te 0.2500 0.7494 0.5563
Te 0.7500 0.2506 0.4437
Te 0.7500 0.4564 0.8814
Te 0.2500 0.5436 0.1186

---

- Number 6 is which compound?
  YH7Os2

---

- What is the formula in the first record?
  CaScB

---

- Number 2 is which compound?
  Bi2PS6

---

Copy entry 10 word for word.
DFT (PBE) results for a relaxed structure of DyThSbP.

The value obtained for the electronic total energy is -6.594 eV/atom. Its space-group type is R3m.

Lattice parameters (Å, degrees): 4.1994 4.1990 7.6447 90.00 105.93 120.00
Positions (direct):
Dy 0.9474 0.3717 0.3345
Th 0.3259 0.5609 0.9020
Sb 0.4666 0.1312 0.6128
P 0.1380 0.9669 0.1204